1.
An optimized crystal structure of Pr5SmHg4, computed with GGA-PBE.

Cell and atoms, written as CIF:
```
data_Pr5SmHg4
_cell_length_a 3.8318
_cell_length_b 3.8318
_cell_length_c 20.5559
_cell_angle_alpha 90.00
_cell_angle_beta 90.00
_cell_angle_gamma 90.00
_symmetry_space_group_name_H-M 'P 1'
_symmetry_Int_Tables_number 1
loop_
_symmetry_equiv_pos_as_xyz
'x,y,z'
loop_
_atom_site_label
_atom_site_type_symbol
_atom_site_fract_x
_atom_site_fract_y
_atom_site_fract_z
Pr1 Pr 0.0000 0.0000 0.0000
Pr2 Pr 0.0000 0.0000 0.1892
Pr3 Pr 0.0000 0.0000 0.3796
Pr4 Pr 0.0000 0.0000 0.6204
Pr5 Pr 0.0000 0.0000 0.8108
Sm1 Sm 0.5000 0.5000 0.5000
Hg1 Hg 0.5000 0.5000 0.0950
Hg2 Hg 0.5000 0.5000 0.2873
Hg3 Hg 0.5000 0.5000 0.7127
Hg4 Hg 0.5000 0.5000 0.9050
```

Results
The density of states at the Fermi level comes out at 11.606 states/eV/f.u. The mass density comes out at 9.12 g cm⁻³. The formation energy comes out at -0.37 eV/atom.

2.
An optimized crystal structure of Pr3SmHg, computed with GGA-PBE.

Cell and atoms, written as CIF:
```
data_Pr3SmHg
_cell_length_a 15.3390
_cell_length_b 15.3390
_cell_length_c 5.7453
_cell_angle_alpha 90.14
_cell_angle_beta 90.14
_cell_angle_gamma 14.14
_symmetry_space_group_name_H-M 'P 1'
_symmetry_Int_Tables_number 1
loop_
_symmetry_equiv_pos_as_xyz
'x,y,z'
loop_
_atom_site_label
_atom_site_type_symbol
_atom_site_fract_x
_atom_site_fract_y
_atom_site_fract_z
Pr1 Pr 0.0479 0.0479 0.2391
Pr2 Pr 0.1288 0.1288 0.7468
Pr3 Pr 0.3400 0.3400 0.7512
Pr4 Pr 0.6600 0.6600 0.2488
Pr5 Pr 0.8712 0.8712 0.2532
Pr6 Pr 0.9521 0.9521 0.7609
Sm1 Sm 0.2664 0.2664 0.2508
Sm2 Sm 0.7336 0.7336 0.7492
Hg1 Hg 0.4591 0.4591 0.2664
Hg2 Hg 0.5409 0.5409 0.7336
```

Results
The density of states at the Fermi level comes out at 6.194 states/eV/f.u. The value obtained for the offset from the most stable computed form is 0 meV/atom. The mass density comes out at 7.78 g cm⁻³. The formation energy comes out at -0.17 eV/atom.

3.
An optimized crystal structure of Pr3SmHg3, computed with GGA-PBE.

Cell and atoms, written as CIF:
```
data_Pr3SmHg3
_cell_length_a 7.6611
_cell_length_b 7.6611
_cell_length_c 7.3981
_cell_angle_alpha 90.00
_cell_angle_beta 90.00
_cell_angle_gamma 91.20
_symmetry_space_group_name_H-M 'P 1'
_symmetry_Int_Tables_number 1
loop_
_symmetry_equiv_pos_as_xyz
'x,y,z'
loop_
_atom_site_label
_atom_site_type_symbol
_atom_site_fract_x
_atom_site_fract_y
_atom_site_fract_z
Pr1 Pr 0.2362 0.2362 0.5000
Pr2 Pr 0.2417 0.2417 0.0000
Pr3 Pr 0.2477 0.7523 0.0000
Pr4 Pr 0.7523 0.2477 0.0000
Pr5 Pr 0.7583 0.7583 0.0000
Pr6 Pr 0.7638 0.7638 0.5000
Sm1 Sm 0.2505 0.7495 0.5000
Sm2 Sm 0.7495 0.2505 0.5000
Hg1 Hg 0.0000 0.5000 0.2547
Hg2 Hg 0.0000 0.5000 0.7453
Hg3 Hg 0.5000 0.0000 0.2547
Hg4 Hg 0.5000 0.0000 0.7453
Hg5 Hg 0.5000 0.5000 0.2572
Hg6 Hg 0.5000 0.5000 0.7428
```

Results
The density of states at the Fermi level comes out at 8.834 states/eV/f.u. The mass density comes out at 8.99 g cm⁻³. The formation energy comes out at -0.31 eV/atom.

4.
An optimized crystal structure of PrSm2Hg, computed with GGA-PBE.

Cell and atoms, written as CIF:
```
data_PrSm2Hg
_cell_length_a 11.0237
_cell_length_b 11.0237
_cell_length_c 11.0237
_cell_angle_alpha 19.47
_cell_angle_beta 19.47
_cell_angle_gamma 19.47
_symmetry_space_group_name_H-M 'P 1'
_symmetry_Int_Tables_number 1
loop_
_symmetry_equiv_pos_as_xyz
'x,y,z'
loop_
_atom_site_label
_atom_site_type_symbol
_atom_site_fract_x
_atom_site_fract_y
_atom_site_fract_z
Pr1 Pr 0.0000 0.0000 0.0000
Sm1 Sm 0.5743 0.5743 0.5743
Sm2 Sm 0.7591 0.7591 0.7591
Hg1 Hg 0.1666 0.1666 0.1666
```

Results
The density of states at the Fermi level comes out at 4.216 states/eV/f.u. The value obtained for the offset from the most stable computed form is 88 meV/atom. The mass density comes out at 8.20 g cm⁻³. The formation energy comes out at -0.14 eV/atom.

5.
An optimized crystal structure of PrSm2Hg, computed with GGA-PBE.

Cell and atoms, written as CIF:
```
data_PrSm2Hg
_cell_length_a 4.9303
_cell_length_b 4.9303
_cell_length_c 4.9192
_cell_angle_alpha 90.00
_cell_angle_beta 90.00
_cell_angle_gamma 90.00
_symmetry_space_group_name_H-M 'P 1'
_symmetry_Int_Tables_number 1
loop_
_symmetry_equiv_pos_as_xyz
'x,y,z'
loop_
_atom_site_label
_atom_site_type_symbol
_atom_site_fract_x
_atom_site_fract_y
_atom_site_fract_z
Pr1 Pr 0.0000 0.0000 0.0000
Sm1 Sm 0.0000 0.5000 0.5000
Sm2 Sm 0.5000 0.0000 0.5000
Hg1 Hg 0.5000 0.5000 0.0000
```

Results
The density of states at the Fermi level comes out at 5.652 states/eV/f.u. The value obtained for the offset from the most stable computed form is 65 meV/atom. The mass density comes out at 8.92 g cm⁻³. The formation energy comes out at -0.17 eV/atom.

6.
An optimized crystal structure of Pr3Sm2Hg2, computed with GGA-PBE.

Cell and atoms, written as CIF:
```
data_Pr3Sm2Hg2
_cell_length_a 7.0080
_cell_length_b 7.0080
_cell_length_c 9.6049
_cell_angle_alpha 113.68
_cell_angle_beta 113.68
_cell_angle_gamma 32.10
_symmetry_space_group_name_H-M 'P 1'
_symmetry_Int_Tables_number 1
loop_
_symmetry_equiv_pos_as_xyz
'x,y,z'
loop_
_atom_site_label
_atom_site_type_symbol
_atom_site_fract_x
_atom_site_fract_y
_atom_site_fract_z
Pr1 Pr 0.0000 0.0000 0.0000
Pr2 Pr 0.1072 0.1072 0.4418
Pr3 Pr 0.8928 0.8928 0.5582
Sm1 Sm 0.3539 0.3539 0.1873
Sm2 Sm 0.6461 0.6461 0.8127
Hg1 Hg 0.3212 0.3212 0.7758
Hg2 Hg 0.6788 0.6788 0.2242
```

Results
The density of states at the Fermi level comes out at 8.187 states/eV/f.u. The value obtained for the offset from the most stable computed form is 0 meV/atom. The mass density comes out at 8.20 g cm⁻³. The formation energy comes out at -0.22 eV/atom.

Question: Look up the mass density of the fourth one.
Answer: 8.20 g cm⁻³

Repeat the sixth record exactly.
An optimized crystal structure of Pr3Sm2Hg2, computed with GGA-PBE.

Cell and atoms, written as CIF:
```
data_Pr3Sm2Hg2
_cell_length_a 7.0080
_cell_length_b 7.0080
_cell_length_c 9.6049
_cell_angle_alpha 113.68
_cell_angle_beta 113.68
_cell_angle_gamma 32.10
_symmetry_space_group_name_H-M 'P 1'
_symmetry_Int_Tables_number 1
loop_
_symmetry_equiv_pos_as_xyz
'x,y,z'
loop_
_atom_site_label
_atom_site_type_symbol
_atom_site_fract_x
_atom_site_fract_y
_atom_site_fract_z
Pr1 Pr 0.0000 0.0000 0.0000
Pr2 Pr 0.1072 0.1072 0.4418
Pr3 Pr 0.8928 0.8928 0.5582
Sm1 Sm 0.3539 0.3539 0.1873
Sm2 Sm 0.6461 0.6461 0.8127
Hg1 Hg 0.3212 0.3212 0.7758
Hg2 Hg 0.6788 0.6788 0.2242
```

Results
The density of states at the Fermi level comes out at 8.187 states/eV/f.u. The value obtained for the offset from the most stable computed form is 0 meV/atom. The mass density comes out at 8.20 g cm⁻³. The formation energy comes out at -0.22 eV/atom.

Question: Look up the mass density of the second one.
Answer: 7.78 g cm⁻³

Question: What is the mass density in the first record?
Answer: 9.12 g cm⁻³